Record 1
Cd2Ag3 GGA-PBEsol optimized geometry; formation energy from the elements = -0.07 eV per atom; crystal system = orthorhombic; size of the total moment = 0.0 μB per formula unit; polymorph energy (0 for the lowest one) = 0.000 eV/atom
1.0
2.9748 0.0000 0.0000
0.0000 3.9945 0.0000
-1.4874 -1.9973 7.4442
Ag Cd
3 2
Direct
0.0000 0.0000 0.0000
0.2006 0.2006 0.4011
0.7994 0.7994 0.5989
0.3971 0.3971 0.7943
0.6029 0.6029 0.2057

=====

Record 2
Cd2Ag GGA-PBEsol optimized geometry; formation energy from the elements = -0.02 eV per atom; crystal system = hexagonal; size of the total moment = 0.0 μB per formula unit; polymorph energy (0 for the lowest one) = 0.048 eV/atom
1.0
-2.6044 -3.3496 2.1807
3.9949 -1.2120 -2.3086
3.0248 0.7868 4.8212
Cd Ag
4 2
Direct
0.3333 0.6667 0.7500
0.0000 0.0000 0.5000
0.0000 0.0000 0.0000
0.6667 0.3333 0.2500
0.6667 0.3333 0.7500
0.3333 0.6667 0.2500

=====

Record 3
CdAg3 GGA-PBEsol optimized geometry; formation energy from the elements = -0.06 eV per atom; crystal system = tetragonal; size of the total moment = 0.0 μB per formula unit
1.0
-3.5487 1.9688 -0.6096
-1.0334 -0.6494 3.9181
5.8397 6.3881 0.4498
Ag Cd
6 2
Direct
0.7500 0.2500 0.5000
0.5000 0.0000 0.0000
0.1239 0.1239 0.2477
0.0000 0.5000 0.0000
0.8761 0.8761 0.7523
0.2500 0.7500 0.5000
0.3741 0.3741 0.7481
0.6259 0.6259 0.2519

=====

Record 4
Cd5Ag GGA-PBEsol optimized geometry; formation energy from the elements = -0.03 eV per atom; crystal system = orthorhombic; size of the total moment = 0.0 μB per formula unit
1.0
3.1030 0.0000 0.0000
0.0000 4.7113 0.0000
-1.5515 0.0000 8.0189
Cd Ag
5 1
Direct
0.3381 0.0000 0.6762
0.6614 0.0000 0.3229
0.2229 0.5000 0.4459
0.8918 0.5000 0.7837
0.5519 0.5000 0.1037
0.0005 0.0000 0.0010

=====

Record 5
CdAg3 GGA-PBEsol optimized geometry; formation energy from the elements = -0.06 eV per atom; crystal system = hexagonal; size of the total moment = 0.0 μB per formula unit
1.0
-0.6962 -0.1236 4.7320
3.6834 -4.4067 0.4268
1.9231 5.4120 0.4243
Ag Cd
6 2
Direct
0.7500 0.1654 0.8346
0.2500 0.3309 0.1654
0.2500 0.8346 0.6691
0.2500 0.8346 0.1654
0.7500 0.1654 0.3309
0.7500 0.6691 0.8346
0.2500 0.3333 0.6667
0.7500 0.6667 0.3333

=====

Record 6
CdAg2 GGA-PBEsol optimized geometry; formation energy from the elements = -0.06 eV per atom; crystal system = orthorhombic; size of the total moment = 0.0 μB per formula unit; polymorph energy (0 for the lowest one) = 0.001 eV/atom
1.0
4.7768 0.0000 0.0000
0.0000 5.0122 0.0000
0.0000 -2.5061 4.3652
Ag Cd
4 2
Direct
0.7500 0.1618 0.6638
0.2500 0.8382 0.3362
0.2500 0.5020 0.6638
0.7500 0.4980 0.3362
0.7500 0.8229 0.0000
0.2500 0.1771 0.0000

=====

Record 7
CdAg2 GGA-PBEsol optimized geometry; formation energy from the elements = -0.05 eV per atom; crystal system = monoclinic; size of the total moment = 0.0 μB per formula unit; polymorph energy (0 for the lowest one) = 0.017 eV/atom
1.0
-1.6175 2.4326 -0.3218
-3.2216 -4.1526 -1.7772
-0.9341 0.2893 6.8826
Cd Ag
2 4
Direct
0.6900 0.3800 0.6433
0.3100 0.6200 0.3567
0.0297 0.0594 0.3003
0.6380 0.2760 0.0283
0.3620 0.7240 0.9717
0.9703 0.9406 0.6997

=====

Record 8
Cd12Ag17 GGA-PBEsol optimized geometry; formation energy from the elements = 0.00 eV per atom; crystal system = cubic; size of the total moment = 0.0 μB per formula unit
1.0
8.8057 0.0000 0.0000
-2.9352 8.3021 0.0000
-2.9352 -4.1510 7.1898
Ag Cd
17 12
Direct
0.4145 0.7250 0.4145
0.0000 0.0000 0.0000
0.6895 0.2750 0.6895
0.3441 0.0000 0.0000
0.0000 0.0000 0.3441
0.5855 0.3105 0.0000
0.0000 0.3105 0.5855
0.3105 0.5855 0.0000
0.7250 0.4145 0.4145
0.0000 0.3441 0.0000
0.3105 0.0000 0.5855
0.6895 0.6895 0.2750
0.4145 0.4145 0.7250
0.0000 0.5855 0.3105
0.2750 0.6895 0.6895
0.5855 0.0000 0.3105
0.6559 0.6559 0.6559
0.1943 0.1943 0.8096
0.6153 0.0000 0.8057
0.1904 0.3847 0.3847
0.8057 0.6153 0.0000
0.1943 0.8096 0.1943
0.3847 0.1904 0.3847
0.8057 0.0000 0.6153
0.0000 0.8057 0.6153
0.8096 0.1943 0.1943
0.3847 0.3847 0.1904
0.0000 0.6153 0.8057
0.6153 0.8057 0.0000

=====

Record 9
Cd2Ag GGA-PBEsol optimized geometry; formation energy from the elements = -0.05 eV per atom; crystal system = monoclinic; size of the total moment = 0.0 μB per formula unit; polymorph energy (0 for the lowest one) = 0.015 eV/atom
1.0
-1.4912 1.0472 -2.4600
-4.0049 -1.3426 3.7610
1.7148 6.5145 1.7337
Cd Ag
4 2
Direct
0.3361 0.6723 0.6716
0.3893 0.7786 0.2713
0.7163 0.4326 0.9499
0.0579 0.1158 0.6055
0.6674 0.3349 0.3338
0.9997 0.9993 0.0013

=====

Record 10
Cd4Ag3 GGA-PBEsol optimized geometry; formation energy from the elements = 0.00 eV per atom; crystal system = hexagonal; size of the total moment = 0.0 μB per formula unit; polymorph energy (0 for the lowest one) = 0.044 eV/atom
1.0
-1.5655 -2.4154 4.4750
4.6360 1.4043 2.3798
-4.2764 3.2809 0.2748
Cd Ag
4 3
Direct
0.7474 0.0000 0.0000
0.5000 0.3333 0.6667
0.2526 0.0000 0.0000
0.5000 0.6667 0.3333
0.0000 0.5000 0.0000
0.0000 0.5000 0.5000
0.0000 0.0000 0.5000

=====

Record 11
Cd5Ag GGA-PBEsol optimized geometry; formation energy from the elements = -0.03 eV per atom; crystal system = monoclinic; size of the total moment = 0.0 μB per formula unit
1.0
-0.6082 -2.0581 -2.2290
3.1574 -2.7454 3.8209
-6.5904 -0.8144 2.5501
Cd Ag
5 1
Direct
0.6663 0.3325 0.3300
0.3916 0.7831 0.2699
0.7180 0.4359 0.9464
0.3368 0.6736 0.6756
0.0557 0.1114 0.6139
0.9983 0.9967 0.9977

=====

Record 12
CdAg3 GGA-PBEsol optimized geometry; formation energy from the elements = -0.04 eV per atom; crystal system = orthorhombic; size of the total moment = 0.0 μB per formula unit
1.0
2.9649 0.0000 0.0000
0.0000 4.0158 0.0000
0.0000 0.0000 5.7906
Cd Ag
1 3
Direct
0.5000 0.5000 0.0000
0.0000 0.0000 0.7457
0.0000 0.0000 0.2543
0.5000 0.5000 0.5000